# 1
A relaxed structure of Pm5SmPd2. Source: Alexandria via LeMat-Bulk, functional PBE.

Structure (POSCAR):
```
Pm5SmPd2
1.0
3.931 0.000 0.000
-1.966 6.368 0.000
0.000 0.000 18.846
Pd Sm Pm
4 2 10
Direct
0.233 0.467 0.632
0.233 0.467 0.868
0.767 0.533 0.132
0.767 0.533 0.368
0.637 0.274 0.750
0.363 0.726 0.250
0.647 0.295 0.960
0.059 0.119 0.112
0.630 0.261 0.250
0.353 0.705 0.040
0.941 0.881 0.612
0.647 0.295 0.540
0.353 0.705 0.460
0.941 0.881 0.888
0.370 0.739 0.750
0.059 0.119 0.388
```

## Properties
The calculation puts the formation energy at -325.2 meV/atom. As for the crystal system: orthorhombic. The space group is Cmcm, No. 63. For the calculated total energy, the calculation gives -5.182 eV per atom.



# 2
A relaxed structure of NdPu3N4. Source: Alexandria via LeMat-Bulk, functional PBE.

Structure (POSCAR):
```
NdPu3N4
1.0
3.517 0.000 0.000
0.000 5.773 -1.978
0.000 -0.057 6.102
N Pu Nd
4 3 1
Direct
0.000 0.732 0.732
0.500 0.740 0.260
0.500 0.260 0.740
0.000 0.268 0.268
0.500 0.500 0.500
0.000 0.000 0.500
0.000 0.500 0.000
0.500 0.000 0.000
```

## Properties
As for the crystal system: orthorhombic. The space group is Cmmm, No. 65. Its uncorrected formation energy is -1.28 eV/atom. For the calculated total energy, the calculation gives -11.416 eV per atom.



# 3
A relaxed structure of AlInOs2. Source: Alexandria via LeMat-Bulk, functional PBE.

Structure (POSCAR):
```
AlInOs2
1.0
4.947 -0.008 0.000
1.838 4.593 0.000
-3.393 -2.293 2.777
In Os Al
1 2 1
Direct
0.750 0.250 0.500
0.000 0.000 0.000
0.250 0.750 0.500
0.500 0.500 0.000
```

## Properties
The calculation puts the formation energy at 354.5 meV/atom. As for the crystal system: tetragonal. The space group is I-4m2, No. 119. For the energy above the most stable polymorph in this dataset, the calculation gives 0.249 eV per atom. For the calculated total energy, the calculation gives -6.881 eV per atom.



Question: Among the records above, which one has the lowest calculated total energy?
Answer: NdPu3N4